No. 1
Here is crystalline Nd2Mg2In at its relaxed geometry from Alexandria. Energies are from PBE.

It has space group Cmmm (No. 65), with a = 5.1108 Å, b = 15.8557 Å, c = 3.4212 Å, α = 90.00°, β = 90.00° and γ = 90.00°. The inequivalent atoms are Nd at (0.0000, 0.1102, 0.0000), Mg at (0.0000, 0.2990, 0.5000) and In at (0.0000, 0.5000, 0.5000).

The value obtained for the final energy is -3.304 eV/atom. The relative energy among the computed polymorphs comes out at 12 meV per atom. As for the formation energy: -0.211 eV per atom.

No. 2
Here is crystalline Nd9MgIn2 at its relaxed geometry from Alexandria. Energies are from PBE.

It has space group P4/mmm (No. 123), with a = 5.0088 Å, b = 5.0088 Å, c = 14.9796 Å, α = 90.00°, β = 90.00° and γ = 90.00°. The inequivalent atoms are Nd at (0.0000, 0.0000, 0.0000), Nd at (0.0000, 0.0000, 0.3323), Nd at (0.0000, 0.5000, 0.1686), Nd at (0.0000, 0.5000, 0.5000), Mg at (0.5000, 0.5000, 0.0000) and In at (0.5000, 0.5000, 0.3343).

The value obtained for the final energy is -4.348 eV/atom. As for the formation energy: -0.183 eV per atom.

No. 3
Here is crystalline NdMg4In2 at its relaxed geometry from Alexandria. Energies are from PBE.

It has space group P4_2/mnm (No. 136), with a = 8.6597 Å, b = 8.6597 Å, c = 4.6838 Å, α = 90.00°, β = 90.00° and γ = 90.00°. The inequivalent atoms are Nd at (0.0000, 0.0000, 0.0000), Mg at (0.0986, 0.3452, 0.5000) and In at (0.2042, 0.7958, 0.5000).

The value obtained for the final energy is -2.579 eV/atom. As for the formation energy: -0.204 eV per atom.

No. 4
Here is crystalline Nd4Mg2In at its relaxed geometry from Alexandria. Energies are from PBE.

It has space group R-3m (No. 166, hexagonal axes), with a = 5.4137 Å, b = 5.4137 Å, c = 26.0123 Å, α = 90.00°, β = 90.00° and γ = 120.00°. The inequivalent atoms are Nd at (0.0000, 0.0000, 0.1165), Nd at (0.0000, 0.0000, 0.3698), Mg at (0.0000, 0.0000, 0.2436) and In at (0.0000, 0.0000, 0.5000).

The value obtained for the final energy is -3.628 eV/atom. As for the formation energy: -0.056 eV per atom.

No. 5
Here is crystalline Nd6Mg2In at its relaxed geometry from Alexandria. Energies are from PBE.

It has space group Immm (No. 71), with a = 10.2201 Å, b = 10.5099 Å, c = 10.8441 Å, α = 90.00°, β = 90.00° and γ = 90.00°. The inequivalent atoms are Nd at (0.0000, 0.1817, 0.2381), Nd at (0.1782, 0.5000, 0.2593), Nd at (0.2440, 0.3026, 0.0000), Mg at (0.0000, 0.3666, 0.5000), Mg at (0.1386, 0.0000, 0.0000), In at (0.0000, 0.0000, 0.5000) and In at (0.0000, 0.5000, 0.0000).

The value obtained for the final energy is -3.897 eV/atom. As for the formation energy: -0.060 eV per atom.

No. 6
Here is crystalline NdMgIn at its relaxed geometry from Alexandria. Energies are from PBE.

It has space group Ama2 (No. 40), with a = 7.2983 Å, b = 7.1544 Å, c = 7.1554 Å, α = 90.00°, β = 90.00° and γ = 90.00°. The inequivalent atoms are Nd at (0.2500, 0.2492, 0.0000), Mg at (0.2500, 0.2506, 0.4986) and In at (0.0000, 0.0000, 0.2509).

The value obtained for the final energy is -3.121 eV/atom. As for the formation energy: -0.088 eV per atom.